## Ba6Na2Ca (PBE)

Data for a relaxed structure of Ba6Na2Ca.

Spin magnetization: 0.0 μB/f.u.
Polymorph energy (0 for the lowest one): 0 meV per atom
Formation enthalpy at 0 K: 0.0403 eV/atom
D(E_F): 12.4 states/eV/f.u.

Unit cell a=16.175 b=4.516 c=14.417 alpha=90.00 beta=106.84 gamma=90.00
Space group C2/m (No. 12)
Symmetry-distinct sites (fractional):
Ba 0.026 0.000 0.337
Ba 0.165 0.500 0.886
Ba 0.187 0.500 0.593
Na 0.151 0.500 0.185
Ca 0.000 0.000 0.000